Density functional theory data (PBE-GGA) for PaGaFe after structural relaxation.

Properties
Its size of the total moment is 0.00 μB per formula unit. As for the calculated volume: 107 Å³/cell. Its final energy is -44.6 eV/cell.

Cell: 4.398 4.674 5.804 Å, 103.21 112.25 90.00°
Positions (direct):
Pa 0.131 0.818 0.762
Pa 0.869 0.182 0.238
Ga 0.416 0.689 0.332
Ga 0.584 0.311 0.668
Fe 0.190 0.317 0.881
Fe 0.810 0.683 0.119

***

Density functional theory data (PBE-GGA) for Pu3AsSe2 after structural relaxation.

Properties
Its size of the total moment is 16.73 μB per formula unit. As for the calculated volume: 303 Å³/cell. Its final energy is -125.9 eV/cell.

Cell: 7.185 7.185 7.196 Å, 99.60 99.60 119.95°
Each line ends with the local moment (μB).
Positions (direct):
Se 0.917 0.083 0.750  -0.11
Se 0.249 0.751 0.750  -0.11
Se 0.751 0.249 0.250  -0.11
Se 0.083 0.917 0.250  -0.11
Pu 0.336 0.172 0.001  5.36
Pu 0.000 0.500 0.000  5.36
Pu 0.500 0.000 0.500  5.36
Pu 0.664 0.828 0.999  5.36
Pu 0.828 0.664 0.499  5.35
Pu 0.172 0.336 0.501  5.35
As 0.415 0.585 0.250  -0.14
As 0.585 0.415 0.750  -0.14

***

Density functional theory data (PBE-GGA) for NaSrGdSe3 after structural relaxation.

Properties
Its size of the total moment is 0.00 μB per formula unit. As for the calculated volume: 329 Å³/cell. The energy above the lowest structure with this stoichiometry is 0.0 meV per atom.

Cell: 9.211 9.211 9.086 Å, 104.60 104.60 26.24°
Positions (direct):
Se 0.500 0.500 0.000
Se 0.332 0.332 0.640
Se 0.668 0.668 0.360
Se 0.321 0.321 0.183
Se 0.679 0.679 0.817
Se 0.000 0.000 0.500
Gd 0.167 0.167 0.589
Gd 0.833 0.833 0.411
Na 0.504 0.504 0.703
Na 0.496 0.496 0.297
Sr 0.865 0.865 0.934
Sr 0.135 0.135 0.066